The following is a PBE calculation of a geometry-optimized TiBPtW2 structure, from Alexandria via LeMat-Bulk.

Unit cell a=4.1679 b=4.2155 c=4.1679 alpha=90.00 beta=90.00 gamma=90.00
Fractional positions:
Ti  0.0000  0.5000  0.0000
Pt  0.5000  0.5000  0.5000
W  0.5000  0.0000  0.0000
W  0.0000  0.0000  0.5000
B  0.0000  0.0000  0.0000

Fermi-level density of states = 3.0 states/eV/f.u.
E = -47.13 eV/cell
Total magnetic moment = 0.00 μB per formula unit
Energy of formation from the pure elements = -0.61 eV per formula unit
Symmetry = P4/mmm, No. 123



The following is a PBE calculation of a geometry-optimized YTiB2Pt structure, from Alexandria via LeMat-Bulk.

Unit cell a=4.2610 b=4.7436 c=4.2610 alpha=90.00 beta=90.00 gamma=90.00
Fractional positions:
Ti  0.0000  0.0000  0.0000
B  0.5000  0.0000  0.0000
B  0.0000  0.0000  0.5000
Y  0.5000  0.5000  0.5000
Pt  0.0000  0.5000  0.0000

Fermi-level density of states = 3.5 states/eV/f.u.
E = -32.10 eV/cell
Total magnetic moment = 0.00 μB per formula unit
Energy of formation from the pure elements = 1.66 eV per formula unit
Symmetry = P4/mmm, No. 123



The following is a PBE calculation of a geometry-optimized TlB2Pt structure, from Alexandria via LeMat-Bulk.

Unit cell a=4.2721 b=4.2721 c=4.2721 alpha=60.00 beta=60.00 gamma=60.00
Fractional positions:
B  0.7500  0.7500  0.7500
B  0.2500  0.2500  0.2500
Tl  0.5000  0.5000  0.5000
Pt  0.0000  0.0000  0.0000

Fermi-level density of states = 2.3 states/eV/f.u.
E = -16.01 eV/cell
Total magnetic moment = 0.00 μB per formula unit
Energy above the lowest structure with this stoichiometry = 0.896 eV per atom
Energy of formation from the pure elements = 5.75 eV per formula unit
Symmetry = Fm-3m, No. 225



The following is a PBE calculation of a geometry-optimized TlB2Pt structure, from Alexandria via LeMat-Bulk.

Unit cell a=5.3707 b=5.3707 c=6.9752 alpha=67.36 beta=67.36 gamma=90.00
Fractional positions:
Pt  0.5000  0.5000  0.0000
Pt  0.2500  0.7500  0.5000
Tl  0.0000  0.0000  0.0000
Tl  0.7500  0.2500  0.5000
B  0.3753  0.6250  0.2500
B  0.8750  0.6247  0.7500
B  0.3750  0.6253  0.7500
B  0.3747  0.1250  0.2500

Fermi-level density of states = 1.6 states/eV/f.u.
E = -39.19 eV/cell
Total magnetic moment = 0.00 μB per formula unit
Energy above the lowest structure with this stoichiometry = 0.000 eV per atom
Energy of formation from the pure elements = 2.17 eV per formula unit
Symmetry = I4_1/amd, No. 141



The following is a PBE calculation of a geometry-optimized TlB3Pt9 structure, from Alexandria via LeMat-Bulk.

Unit cell a=4.1694 b=7.2680 c=7.7524 alpha=117.96 beta=89.29 gamma=90.01
Fractional positions:
Pt  0.9852  0.5295  0.5719
Pt  0.4943  0.7674  0.5350
Pt  0.4730  0.6587  0.8364
Pt  0.4730  0.1781  0.8362
Pt  0.6841  0.8154  0.2107
Pt  0.9853  0.0419  0.5719
Pt  0.2999  0.1656  0.3315
Pt  0.9903  0.4584  0.9165
Pt  0.6841  0.3953  0.2106
Tl  0.9672  0.9781  0.9559
B  0.4762  0.5145  0.0289
B  0.4936  0.4530  0.4971
B  0.4938  0.0441  0.4973

Fermi-level density of states = 7.1 states/eV/f.u.
E = -77.82 eV/cell
Total magnetic moment = 0.00 μB per formula unit
Energy of formation from the pure elements = -1.06 eV per formula unit
Symmetry = Cm, No. 8



The following is a PBE calculation of a geometry-optimized Tl3B2Pt9 structure, from Alexandria via LeMat-Bulk.

Unit cell a=5.7461 b=5.7461 c=16.0784 alpha=90.00 beta=90.00 gamma=120.00
Fractional positions:
Tl  0.6667  0.3333  0.5851
Tl  0.0000  0.0000  0.7500
Tl  0.0000  0.0000  0.2500
Tl  0.6667  0.3333  0.9149
Tl  0.3333  0.6667  0.4149
Tl  0.3333  0.6667  0.0851
Pt  0.4994  0.5006  0.7500
Pt  0.8352  0.6703  0.4235
Pt  0.1648  0.3297  0.9235
Pt  0.1648  0.8352  0.5765
Pt  0.6703  0.8352  0.9235
Pt  0.3297  0.1648  0.4235
Pt  0.6703  0.8352  0.5765
Pt  0.8352  0.1648  0.0765
Pt  0.8352  0.6703  0.0765
Pt  0.0013  0.5006  0.7500
Pt  0.3297  0.1648  0.0765
Pt  0.1648  0.8352  0.9235
Pt  0.8352  0.1648  0.4235
Pt  0.1648  0.3297  0.5765
Pt  0.9987  0.4994  0.2500
Pt  0.5006  0.4994  0.2500
Pt  0.5006  0.0013  0.2500
Pt  0.4994  0.9987  0.7500
B  0.3333  0.6667  0.8419
B  0.6667  0.3333  0.3419
B  0.3333  0.6667  0.6581
B  0.6667  0.3333  0.1581

Fermi-level density of states = 4.4 states/eV/f.u.
E = -152.73 eV/cell
Total magnetic moment = 0.00 μB per formula unit
Energy of formation from the pure elements = -1.54 eV per formula unit
Symmetry = P6_3/mmc, No. 194



The following is a PBE calculation of a geometry-optimized Tl2BPt6 structure, from Alexandria via LeMat-Bulk.

Unit cell a=5.8283 b=5.8283 c=10.0638 alpha=90.00 beta=90.00 gamma=120.00
Fractional positions:
Pt  0.4982  0.5018  0.6186
Pt  0.8335  0.1665  0.8807
Pt  0.1665  0.8335  0.3807
Pt  0.3330  0.1665  0.8807
Pt  0.8335  0.6670  0.8807
Pt  0.9965  0.4982  0.1186
Pt  0.6670  0.8335  0.3807
Pt  0.5018  0.4982  0.1186
Pt  0.0035  0.5018  0.6186
Pt  0.5018  0.0035  0.1186
Pt  0.4982  0.9965  0.6186
Pt  0.1665  0.3330  0.3807
B  0.6667  0.3333  0.7489
B  0.3333  0.6667  0.2489
Tl  0.3333  0.6667  0.8689
Tl  0.6667  0.3333  0.3689
Tl  0.0000  0.0000  0.6343
Tl  0.0000  0.0000  0.1343

Fermi-level density of states = 2.6 states/eV/f.u.
E = -97.62 eV/cell
Total magnetic moment = 0.00 μB per formula unit
Energy of formation from the pure elements = -1.15 eV per formula unit
Symmetry = P6_3mc, No. 186



The following is a PBE calculation of a geometry-optimized TlB2PtW structure, from Alexandria via LeMat-Bulk.

Unit cell a=4.2020 b=5.3624 c=4.2020 alpha=90.00 beta=90.00 gamma=90.00
Last column: magnetic moment on the atom in μB.
Fractional positions:
Tl  0.0000  0.0000  0.0000  0.00
B  0.0000  0.0000  0.5000  -0.10
B  0.5000  0.0000  0.0000  -0.07
W  0.5000  0.5000  0.5000  2.15
Pt  0.0000  0.5000  0.0000  0.13

Fermi-level density of states = 4.8 states/eV/f.u.
E = -21.61 eV/cell
Total magnetic moment = 2.54 μB per formula unit
Energy of formation from the pure elements = 13.11 eV per formula unit
Symmetry = P4/mmm, No. 123